1.
First-principles (GGA-PBE) data for crystalline PWSe2 at its relaxed geometry, as listed in Alexandria.

Structure (POSCAR):
```
PWSe2
1.0
0.000 3.683 3.700
2.632 0.000 3.700
2.632 3.683 0.000
P W Se
1 1 2
Cartesian
0.000 0.000 0.000
2.632 3.683 3.700
0.000 1.841 1.850
2.632 1.841 1.850
```

Values from the calculation:
The electronic total energy comes out at -5.71 eV/atom. The value obtained for the energy relative to the elements, uncorrected is 14.41 kcal/mol of atoms.


2.
First-principles (GGA-PBE) data for crystalline PrEr2Ni at its relaxed geometry, as listed in Alexandria.

Structure (POSCAR):
```
PrEr2Ni
1.0
3.826 0.000 0.000
1.913 3.314 0.000
1.913 1.105 8.926
Pr Er Ni
1 2 1
Cartesian
3.826 2.209 4.406
1.913 1.105 7.421
1.913 1.105 1.530
3.826 2.209 0.032
```

Values from the calculation:
The formation energy is -136 meV/atom. The electronic total energy comes out at -5.06 eV/atom. For the energy above the most stable polymorph in this dataset, the calculation gives 66 meV per atom.


3.
First-principles (GGA-PBE) data for crystalline YZn2NiPt at its relaxed geometry, as listed in Alexandria.

Structure (POSCAR):
```
YZn2NiPt
1.0
-3.560 -2.985 -0.608
0.160 -1.142 4.673
-3.042 3.436 0.944
Y Ni Zn Pt
1 1 2 1
Cartesian
-3.221 -0.346 2.504
0.080 -0.571 2.337
-1.521 1.718 0.472
-1.780 -1.492 -0.304
0.000 0.000 0.000
```

Values from the calculation:
The formation energy is 6 meV/atom. The electronic total energy comes out at -4.16 eV/atom.


4.
First-principles (GGA-PBE) data for crystalline RbU2Te4Pd at its relaxed geometry, as listed in Alexandria.

Structure (POSCAR):
```
RbU2Te4Pd
1.0
-0.672 1.403 4.134
5.497 -5.759 0.489
11.165 10.508 -1.753
Rb U Te Pd
2 4 8 2
Cartesian
9.558 6.721 -0.728
6.432 -0.568 3.598
10.125 2.259 0.879
1.799 0.066 2.630
5.865 3.893 1.991
14.191 6.087 0.240
3.962 -1.561 1.174
8.862 4.734 2.193
12.028 7.714 1.696
7.128 1.419 0.677
5.582 5.254 -0.876
0.000 0.000 0.000
12.901 3.445 0.928
3.089 2.708 1.943
11.533 5.158 2.483
4.457 0.995 0.387
```

Values from the calculation:
The electronic total energy comes out at -5.86 eV/atom. The value obtained for the energy relative to the elements, uncorrected is -16.06 kcal/mol of atoms.


5.
First-principles (GGA-PBE) data for crystalline Ti2H2Pt at its relaxed geometry, as listed in Alexandria.

Structure (POSCAR):
```
Ti2H2Pt
1.0
6.233 0.000 0.000
0.000 6.233 0.000
0.000 0.000 2.753
H Pt Ti
4 2 4
Cartesian
2.452 5.569 0.000
5.569 3.781 0.000
3.781 0.665 0.000
0.665 2.452 0.000
0.000 0.000 0.000
3.117 3.117 0.000
0.949 4.066 1.376
4.066 5.285 1.376
5.285 2.168 1.376
2.168 0.949 1.376
```

Values from the calculation:
The electronic total energy comes out at -6.00 eV/atom. For the energy above the most stable polymorph in this dataset, the calculation gives 357 meV per atom.


6.
First-principles (GGA-PBE) data for crystalline Al2IrRh2 at its relaxed geometry, as listed in Alexandria.

Structure (POSCAR):
```
Al2IrRh2
1.0
-1.316 -6.645 1.843
4.981 0.382 4.933
-1.948 0.912 1.896
Ir Rh Al
2 4 4
Cartesian
0.000 0.000 0.000
1.832 -3.132 3.388
2.094 -0.341 4.483
2.356 -3.593 6.316
-0.378 -5.011 4.190
-0.639 -1.759 2.357
3.803 -2.053 4.894
2.067 -5.458 4.748
-0.139 -4.210 1.882
1.598 -0.805 2.029
```

Values from the calculation:
The formation energy is -593 meV/atom. The electronic total energy comes out at -6.80 eV/atom. For the energy above the most stable polymorph in this dataset, the calculation gives 0 meV per atom.


7.
First-principles (GGA-PBE) data for crystalline Er4TlRh at its relaxed geometry, as listed in Alexandria.

Structure (POSCAR):
```
Er4TlRh
1.0
4.865 0.000 -0.001
0.000 4.866 0.000
0.005 0.009 7.292
Er Tl Rh
4 1 1
Cartesian
2.439 4.853 1.995
2.443 4.862 5.270
0.011 2.429 5.270
0.007 2.420 1.995
2.444 2.429 7.278
0.008 4.858 3.633
```

Values from the calculation:
The formation energy is -322 meV/atom. The electronic total energy comes out at -4.98 eV/atom. For the energy above the most stable polymorph in this dataset, the calculation gives 201 meV per atom.


8.
First-principles (GGA-PBE) data for crystalline CsTaTi3 at its relaxed geometry, as listed in Alexandria.

Structure (POSCAR):
```
CsTaTi3
1.0
-3.692 2.943 1.998
-3.537 -3.344 -1.610
0.379 -2.538 4.439
Cs Ti Ta
1 3 1
Cartesian
-3.425 -1.469 2.413
-1.769 -1.672 -0.805
0.190 -1.269 2.219
-1.846 1.472 0.999
0.000 0.000 0.000
```

Values from the calculation:
The formation energy is 1288 meV/atom. The electronic total energy comes out at -5.99 eV/atom. For the energy above the most stable polymorph in this dataset, the calculation gives 0 meV per atom.


9.
First-principles (GGA-PBE) data for crystalline Ac4PtSeCl2 at its relaxed geometry, as listed in Alexandria.

Structure (POSCAR):
```
Ac4PtSeCl2
1.0
-2.516 0.188 -3.568
3.475 -6.156 -2.774
-3.932 -6.636 2.423
Ac Pt Se Cl
4 1 1 2
Cartesian
-0.520 -9.608 -0.139
-2.453 -2.996 -3.780
0.363 -6.087 -3.253
-3.337 -6.518 -0.666
0.480 -2.984 -3.171
-0.229 -6.396 -0.175
-3.932 -6.636 2.423
-3.224 -3.224 -0.572
```

Values from the calculation:
The electronic total energy comes out at -5.21 eV/atom. The value obtained for the energy relative to the elements, uncorrected is -34.64 kcal/mol of atoms.


10.
First-principles (GGA-PBE) data for crystalline CaZr3Sc2N6 at its relaxed geometry, as listed in Alexandria.

Structure (POSCAR):
```
CaZr3Sc2N6
1.0
-2.574 -0.184 1.998
-0.815 -6.310 -1.630
5.668 -0.194 4.618
Ca Zr Sc N
1 3 2 6
Cartesian
-1.287 -0.092 0.999
-1.694 -3.247 0.184
1.496 -1.338 4.470
0.783 -5.350 0.517
1.082 -4.479 3.648
1.197 -2.209 1.339
2.121 -5.955 2.185
-0.295 -3.866 1.930
0.158 -0.733 2.801
2.872 -2.068 6.175
-0.593 -4.620 -1.189
2.574 -2.822 3.056
```

Values from the calculation:
The electronic total energy comes out at -9.22 eV/atom. The value obtained for the energy relative to the elements, uncorrected is -39.23 kcal/mol of atoms.